[1]
A plane-wave DFT calculation with PBE was carried out for a geometry-optimized AlS2Cl structure.

Calculated values
**DOS(E_F)**: 0.000 states/eV per atom
**VASP energy**: -0.149 Ha/atom
**Calculated density**: 2.59 Mg/m³

The structure in POSCAR format:
```
AlS2Cl
1.0
2.0856 0.0000 7.1820
-1.0428 1.8062 7.1820
-1.0428 -1.8062 7.1820
S Al Cl
2 1 1
Direct
0.8911 0.8911 0.8911 S
0.1089 0.1089 0.1089 S
0.5000 0.5000 0.5000 Al
0.0000 0.0000 0.0000 Cl
```

[2]
A plane-wave DFT calculation with PBE was carried out for a geometry-optimized Al2S2Cl structure.

Calculated values
**DOS(E_F)**: 0.235 states/eV per atom
**VASP energy**: -0.161 Ha/atom
**Calculated density**: 2.75 Mg/m³

The structure in POSCAR format:
```
Al2S2Cl
1.0
3.4054 0.0000 -0.8938
-0.2346 3.3973 -0.8938
0.2493 0.2671 7.8839
Al S Cl
2 2 1
Direct
0.1587 0.1587 0.3174 Al
0.8413 0.8413 0.6826 Al
0.3303 0.3303 0.6605 S
0.6697 0.6697 0.3395 S
0.0000 0.0000 0.0000 Cl
```

[3]
A plane-wave DFT calculation with PBE was carried out for a geometry-optimized AlSCl2 structure.

Calculated values
**DOS(E_F)**: 0.838 states/eV per atom
**VASP energy**: -0.099 Ha/atom
**Calculated density**: 1.94 Mg/m³

The structure in POSCAR format:
```
AlSCl2
1.0
-2.8692 -7.4911 8.8677
-0.8849 -9.5186 7.1833
0.3895 -7.4095 9.3773
Cl Al S
2 1 1
Direct
0.0591 0.0591 0.0591 Cl
0.9409 0.9409 0.9409 Cl
0.0000 0.0000 0.0000 Al
0.5000 0.5000 0.5000 S
```